A plane-wave DFT calculation with GGA-PBE was carried out for a geometry-optimized HfPa2Sn structure.

Calculated values
calculated total energy	-8.331	eV per atom
formation energy	-0.094	eV/atom
offset from the most stable computed form	101	meV per atom
volume	193.2	Å³/cell
space-group type	P2_1/m

Cell: 4.1723 4.2331 11.1362 Å, 90.00 100.82 90.00°
Atoms (fractional coordinates):
Hf 0.1910 0.2500 0.3802
Hf 0.8090 0.7500 0.6198
Pa 0.0580 0.7500 0.1156
Pa 0.4355 0.7500 0.8715
Pa 0.5645 0.2500 0.1285
Pa 0.9420 0.2500 0.8844
Sn 0.3236 0.2500 0.6488
Sn 0.6764 0.7500 0.3512

A plane-wave DFT calculation with GGA-PBE was carried out for a geometry-optimized SiSb2Cl structure.

Calculated values
calculated total energy	-3.785	eV per atom
offset from the most stable computed form	60	meV per atom
formation energy without anion corrections	94	meV/atom
volume	110.4	Å³/cell
space-group type	Pm

Cell: 4.1738 5.3554 5.3201 Å, 90.00 111.83 90.00°
Atoms (fractional coordinates):
Si 0.0000 0.0000 0.0000
Sb 0.6597 0.0000 0.3469
Sb 0.8697 0.5000 0.1198
Cl 0.3488 0.5000 0.6856